Record 1
# Sc2GePb2, optimized geometry, DFT GGA-PBE
data_Sc2GePb2
_cell_length_a 7.743
_cell_length_b 7.743
_cell_length_c 4.186
_cell_angle_alpha 90.00
_cell_angle_beta 90.00
_cell_angle_gamma 90.00
_space_group_name_H-M_alt 'P 4/m b m'
_space_group_IT_number 127
_space_group_name_Hall '-P 4 2ab'
loop_
_atom_site_label
_atom_site_type_symbol
_atom_site_fract_x
_atom_site_fract_y
_atom_site_fract_z
Sc1 Sc 0.169 0.331 0.000
Ge1 Ge 0.000 0.000 0.500
Pb1 Pb 0.139 0.639 0.500
# formation energy from the elements = -0.127 eV/atom
# polymorph energy (0 for the lowest one) = 234 meV per atom
# mass density = 7.635 g/cm³
# uncorrected energy = -5.067 eV per atom

***

Record 2
# ScGePb3, optimized geometry, DFT GGA-PBE
data_ScGePb3
_cell_length_a 5.485
_cell_length_b 5.485
_cell_length_c 5.485
_cell_angle_alpha 90.00
_cell_angle_beta 90.00
_cell_angle_gamma 90.00
_space_group_name_H-M_alt 'P m -3 m'
_space_group_IT_number 221
_space_group_name_Hall '-P 4 2 3'
loop_
_atom_site_label
_atom_site_type_symbol
_atom_site_fract_x
_atom_site_fract_y
_atom_site_fract_z
Sc1 Sc 0.000 0.000 0.000
Ge1 Ge 0.500 0.500 0.500
Pb1 Pb 0.000 0.500 0.500
# formation energy from the elements = 0.557 eV/atom
# polymorph energy (0 for the lowest one) = 5 meV per atom
# mass density = 7.440 g/cm³
# uncorrected energy = -3.858 eV per atom

***

Record 3
# Sc4GePb, optimized geometry, DFT GGA-PBE
data_Sc4GePb
_cell_length_a 15.013
_cell_length_b 5.602
_cell_length_c 7.219
_cell_angle_alpha 90.00
_cell_angle_beta 104.91
_cell_angle_gamma 90.00
_space_group_name_H-M_alt 'C 1 2/c 1'
_space_group_IT_number 15
_space_group_name_Hall '-C 2yc'
loop_
_atom_site_label
_atom_site_type_symbol
_atom_site_fract_x
_atom_site_fract_y
_atom_site_fract_z
Sc1 Sc 0.075 0.119 0.437
Sc2 Sc 0.167 0.376 0.133
Ge1 Ge 0.250 0.250 0.500
Pb1 Pb 0.000 0.371 0.750
# formation energy from the elements = -0.303 eV/atom
# mass density = 5.205 g/cm³
# uncorrected energy = -5.912 eV per atom

***

Please write out number 2 again, unchanged.
# ScGePb3, optimized geometry, DFT GGA-PBE
data_ScGePb3
_cell_length_a 5.485
_cell_length_b 5.485
_cell_length_c 5.485
_cell_angle_alpha 90.00
_cell_angle_beta 90.00
_cell_angle_gamma 90.00
_space_group_name_H-M_alt 'P m -3 m'
_space_group_IT_number 221
_space_group_name_Hall '-P 4 2 3'
loop_
_atom_site_label
_atom_site_type_symbol
_atom_site_fract_x
_atom_site_fract_y
_atom_site_fract_z
Sc1 Sc 0.000 0.000 0.000
Ge1 Ge 0.500 0.500 0.500
Pb1 Pb 0.000 0.500 0.500
# formation energy from the elements = 0.557 eV/atom
# polymorph energy (0 for the lowest one) = 5 meV per atom
# mass density = 7.440 g/cm³
# uncorrected energy = -3.858 eV per atom

***

uncorrected energy of number 2 (ScGePb3)? -3.858 eV per atom

***

What is the formula in the first record? Sc2GePb2

***

The highest mass density belongs to which entry? Sc2GePb2